No. 1
Entry from the Open Quantum Materials Database: a relaxed Ac2Cd6Ge3 crystal (GGA-PBE).

Lattice parameters (Å, degrees): 8.471 8.471 4.412 90.00 90.00 120.00
Sites, in units of the cell vectors:
Ac 0.333 0.667 0.000
Ac 0.667 0.333 0.000
Cd 0.000 0.198 0.000
Cd 0.000 0.714 0.500
Cd 0.198 0.000 0.000
Cd 0.286 0.286 0.500
Cd 0.714 0.000 0.500
Cd 0.802 0.802 0.000
Ge 0.000 0.393 0.500
Ge 0.393 0.000 0.500
Ge 0.607 0.607 0.500

Summary:
Space group: P-62m, No. 189
M_tot, μB/atom: 0.00
E_tot, eV per cell: -31.32

No. 2
Entry from the Open Quantum Materials Database: a relaxed AcCdGe crystal (GGA-PBE).

Lattice parameters (Å, degrees): 5.069 5.069 5.069 60.00 60.00 60.00
Sites, in units of the cell vectors:
Ac 0.000 0.000 0.000
Cd 0.500 0.500 0.500
Ge 0.250 0.250 0.250

Summary:
Polymorph energy (0 for the lowest one), eV per atom: 0.0000
Space group: F-43m, No. 216
M_tot, μB/atom: 0.00

No. 3
Entry from the Open Quantum Materials Database: a relaxed Ac2CdGe2 crystal (GGA-PBE).

Lattice parameters (Å, degrees): 7.897 7.897 9.244 90.00 90.00 90.00
Sites, in units of the cell vectors:
Ac 0.180 0.319 0.000
Ac 0.181 0.320 0.500
Ac 0.319 0.820 0.000
Ac 0.320 0.819 0.500
Ac 0.680 0.181 0.500
Ac 0.681 0.180 0.000
Ac 0.819 0.680 0.500
Ac 0.820 0.681 0.000
Cd 0.000 0.000 0.250
Cd 0.000 0.000 0.750
Cd 0.500 0.500 0.250
Cd 0.500 0.500 0.750
Ge 0.116 0.616 0.250
Ge 0.116 0.616 0.750
Ge 0.384 0.116 0.250
Ge 0.384 0.116 0.750
Ge 0.616 0.884 0.250
Ge 0.616 0.884 0.750
Ge 0.884 0.384 0.250
Ge 0.884 0.384 0.750

Summary:
Space group: P4/mnc, No. 128
M_tot, μB/atom: 0.00
E_tot, eV per cell: -86.23

No. 4
Entry from the Open Quantum Materials Database: a relaxed AcCdHg crystal (GGA-PBE).

Lattice parameters (Å, degrees): 5.202 5.202 5.202 60.00 60.00 60.00
Sites, in units of the cell vectors:
Ac 0.000 0.000 0.000
Cd 0.500 0.500 0.500
Hg 0.250 0.250 0.250

Summary:
Polymorph energy (0 for the lowest one), eV per atom: 0.0000
ΔE_f, eV per atom: -0.296
Space group: F-43m, No. 216
M_tot, μB/atom: 0.19